Entry 1:
VASP calculation (PBE) on crystalline LaMgSn6 at its relaxed geometry. Values from VASP.

```
&SYSTEM
  ibrav = 0, nat = 8, ntyp = 3
/
ATOMIC_SPECIES
La 138.91 La.upf
Mg 24.30 Mg.upf
Sn 118.71 Sn.upf
ATOMIC_POSITIONS crystal
La 0.0000 0.0000 0.0000
Mg 0.5000 0.5000 0.0000
Sn 0.0000 0.5000 0.0000
Sn 0.2682 0.2682 0.5000
Sn 0.2682 0.7318 0.5000
Sn 0.5000 0.0000 0.0000
Sn 0.7318 0.2682 0.5000
Sn 0.7318 0.7318 0.5000
CELL_PARAMETERS angstrom
6.8641 0.0000 0.0000
0.0000 6.8641 0.0000
0.0000 0.0000 4.5435
```

DOS(E_F) = 5.4 states/eV per cell
Calculated density = 6.8 g/cm³
Energy above the lowest structure with this stoichiometry = 0.000 eV per atom
Formation energy from the elements = -0.308 eV per atom
Total magnetization = 0.0 Bohr magnetons per cell

=====

Entry 2:
VASP calculation (PBE) on crystalline HoTe2Au at its relaxed geometry. Values from VASP.

```
&SYSTEM
  ibrav = 0, nat = 16, ntyp = 3
/
ATOMIC_SPECIES
Ho 164.93 Ho.upf
Te 127.60 Te.upf
Au 196.97 Au.upf
ATOMIC_POSITIONS crystal
Ho 0.0431 0.0359 0.3171
Ho 0.0431 0.4641 0.8171
Ho 0.9569 0.5359 0.1829
Ho 0.9569 0.9641 0.6829
Te 0.2171 0.2288 0.6607
Te 0.2171 0.2712 0.1607
Te 0.3057 0.7386 0.3945
Te 0.3057 0.7614 0.8945
Te 0.6943 0.2386 0.1055
Te 0.6943 0.2614 0.6055
Te 0.7829 0.7288 0.8393
Te 0.7829 0.7712 0.3393
Au 0.1146 0.6593 0.5611
Au 0.1146 0.8407 0.0611
Au 0.8854 0.1593 0.9389
Au 0.8854 0.3407 0.4389
CELL_PARAMETERS angstrom
8.9783 0.0000 0.0000
0.0000 7.4339 0.0000
-4.4019 0.0000 7.9680
```

E_form (uncorrected) = -3.42 eV per formula unit
Calculated density = 7.7 g/cm³
Total magnetization = 0.0 Bohr magnetons per cell

=====

Entry 3:
VASP calculation (PBE) on crystalline Sc3Sb2H at its relaxed geometry. Values from VASP.

```
&SYSTEM
  ibrav = 0, nat = 12, ntyp = 3
/
ATOMIC_SPECIES
Sc 44.96 Sc.upf
Sb 121.76 Sb.upf
H 1.01 H.upf
ATOMIC_POSITIONS crystal
Sc 0.1413 0.8587 0.7500
Sc 0.2525 0.4501 0.3316
Sc 0.4501 0.2525 0.8316
Sc 0.5499 0.7475 0.1684
Sc 0.7475 0.5499 0.6684
Sc 0.8587 0.1413 0.2500
Sb 0.0886 0.2337 0.0189
Sb 0.2337 0.0886 0.5189
Sb 0.7663 0.9114 0.4811
Sb 0.9114 0.7663 0.9811
H 0.4827 0.5173 0.7500
H 0.5173 0.4827 0.2500
CELL_PARAMETERS angstrom
5.9577 -2.8872 0.0000
5.9577 2.8872 0.0000
-1.3181 0.0000 7.3530
```

DOS(E_F) = 5.8 states/eV per cell
Calculated density = 5.0 g/cm³
Total magnetization = 0.0 Bohr magnetons per cell
Energy = -0.4193 Ry/atom

=====

Entry 4:
VASP calculation (PBE) on crystalline YCuP2Pb at its relaxed geometry. Values from VASP.

```
&SYSTEM
  ibrav = 0, nat = 5, ntyp = 4
/
ATOMIC_SPECIES
Y 88.91 Y.upf
Cu 63.55 Cu.upf
P 30.97 P.upf
Pb 207.20 Pb.upf
ATOMIC_POSITIONS crystal
Y 0.0000 0.0000 0.0000
Cu 0.5000 0.5000 0.0000
P 0.0000 0.5000 0.5000
P 0.5000 0.0000 0.5000
Pb 0.0000 0.0000 0.5000
CELL_PARAMETERS angstrom
5.1953 0.0000 0.0000
0.0000 5.1953 0.0000
0.0000 0.0000 5.7110
```

DOS(E_F) = 2.4 states/eV per cell
Calculated density = 4.5 g/cm³
Formation energy from the elements = 1.187 eV per atom
Total magnetization = 0.0 Bohr magnetons per cell

=====

Entry 5:
VASP calculation (PBE) on crystalline Pm4GaAg2Hg at its relaxed geometry. Values from VASP.

```
&SYSTEM
  ibrav = 0, nat = 8, ntyp = 4
/
ATOMIC_SPECIES
Pm 145.00 Pm.upf
Ga 69.72 Ga.upf
Ag 107.87 Ag.upf
Hg 200.59 Hg.upf
ATOMIC_POSITIONS crystal
Pm 0.1222 0.1222 0.1222
Pm 0.3725 0.3725 0.3725
Pm 0.6275 0.6275 0.6275
Pm 0.8778 0.8778 0.8778
Ga 0.0000 0.0000 0.0000
Ag 0.2486 0.2486 0.2486
Ag 0.7514 0.7514 0.7514
Hg 0.5000 0.5000 0.5000
CELL_PARAMETERS angstrom
2.6398 1.5241 8.6613
-2.6398 1.5241 8.6613
0.0000 -3.0482 8.6613
```

DOS(E_F) = 8.5 states/eV per cell
Calculated density = 8.5 g/cm³
Formation energy from the elements = -0.393 eV per atom
Total magnetization = 0.6 Bohr magnetons per cell

=====

Entry 6:
VASP calculation (PBE) on crystalline SN at its relaxed geometry. Values from VASP.

```
&SYSTEM
  ibrav = 0, nat = 4, ntyp = 2
/
ATOMIC_SPECIES
S 32.06 S.upf
N 14.01 N.upf
ATOMIC_POSITIONS crystal
S 0.2199 0.0000 0.0704
S 0.7801 0.0000 0.9296
N 0.1015 0.5000 0.5538
N 0.8985 0.5000 0.4462
CELL_PARAMETERS angstrom
3.8421 0.0000 0.0000
0.0000 3.1775 0.0000
-1.4550 0.0000 8.5744
```

E_form (uncorrected) = 0.28 eV per formula unit
DOS(E_F) = 1.1 states/eV per cell
Calculated density = 1.5 g/cm³
Total magnetization = 0.0 Bohr magnetons per cell

=====

Entry 7:
VASP calculation (PBE) on crystalline K2AlRh at its relaxed geometry. Values from VASP.

```
&SYSTEM
  ibrav = 0, nat = 8, ntyp = 3
/
ATOMIC_SPECIES
K 39.10 K.upf
Al 26.98 Al.upf
Rh 102.91 Rh.upf
ATOMIC_POSITIONS crystal
K 0.0000 0.0000 0.0000
K 0.1485 0.0000 0.5354
K 0.5000 0.5000 0.0000
K 0.6485 0.5000 0.5354
Al 0.2405 0.5000 0.2677
Al 0.7405 0.0000 0.2677
Rh 0.4073 0.0000 0.2676
Rh 0.9073 0.5000 0.2676
CELL_PARAMETERS angstrom
7.3057 0.0000 0.0000
0.0000 4.2119 0.0000
-2.0193 0.0000 9.3300
```

DOS(E_F) = 2.9 states/eV per cell
Calculated density = 2.4 g/cm³
Formation energy from the elements = -0.060 eV per atom
Total magnetization = 0.0 Bohr magnetons per cell

=====

Entry 8:
VASP calculation (PBE) on crystalline Tb2HoPb9 at its relaxed geometry. Values from VASP.

```
&SYSTEM
  ibrav = 0, nat = 12, ntyp = 3
/
ATOMIC_SPECIES
Tb 158.93 Tb.upf
Ho 164.93 Ho.upf
Pb 207.20 Pb.upf
ATOMIC_POSITIONS crystal
Tb 0.0000 0.0000 0.1666
Tb 0.0000 0.0000 0.8334
Ho 0.0000 0.0000 0.5000
Pb 0.0000 0.5000 0.0000
Pb 0.0000 0.5000 0.3341
Pb 0.0000 0.5000 0.6659
Pb 0.5000 0.0000 0.0000
Pb 0.5000 0.0000 0.3341
Pb 0.5000 0.0000 0.6659
Pb 0.5000 0.5000 0.1670
Pb 0.5000 0.5000 0.5000
Pb 0.5000 0.5000 0.8330
CELL_PARAMETERS angstrom
4.8798 0.0000 0.0000
0.0000 4.8798 0.0000
0.0000 0.0000 14.6395
```

DOS(E_F) = 6.8 states/eV per cell
Calculated density = 11.2 g/cm³
Formation energy from the elements = -0.282 eV per atom
Total magnetization = 0.0 Bohr magnetons per cell

=====

Entry 9:
VASP calculation (PBE) on crystalline MnPbBr2 at its relaxed geometry. Values from VASP.

```
&SYSTEM
  ibrav = 0, nat = 8, ntyp = 3
/
ATOMIC_SPECIES
Mn 54.94 Mn.upf
Pb 207.20 Pb.upf
Br 79.90 Br.upf
ATOMIC_POSITIONS crystal
Mn 0.0000 0.0000 0.0000
Mn 0.5000 0.5000 0.0000
Pb 0.0000 0.5000 0.0000
Pb 0.5000 0.0000 0.0000
Br 0.2500 0.2500 0.5000
Br 0.2500 0.7500 0.5000
Br 0.7500 0.2500 0.5000
Br 0.7500 0.7500 0.5000
CELL_PARAMETERS angstrom
7.0837 0.0000 0.0000
0.0000 9.4887 0.0000
-1.8513 0.0000 3.3331
```

E_form (uncorrected) = -0.02 eV per formula unit
DOS(E_F) = 3.3 states/eV per cell
Calculated density = 6.3 g/cm³
Energy above the lowest structure with this stoichiometry = 0.392 eV per atom
Total magnetization = 9.6 Bohr magnetons per cell

=====

Entry 10:
VASP calculation (PBE) on crystalline HoTl2Sb at its relaxed geometry. Values from VASP.

```
&SYSTEM
  ibrav = 0, nat = 12, ntyp = 3
/
ATOMIC_SPECIES
Ho 164.93 Ho.upf
Tl 204.38 Tl.upf
Sb 121.76 Sb.upf
ATOMIC_POSITIONS crystal
Ho 0.0000 0.0000 0.0000
Ho 0.3333 0.6667 0.6667
Ho 0.6667 0.3333 0.3333
Tl 0.0000 0.0000 0.0906
Tl 0.0000 0.0000 0.9094
Tl 0.3333 0.6667 0.5761
Tl 0.3333 0.6667 0.7572
Tl 0.6667 0.3333 0.2428
Tl 0.6667 0.3333 0.4239
Sb 0.0000 0.0000 0.5000
Sb 0.3333 0.6667 0.1667
Sb 0.6667 0.3333 0.8333
CELL_PARAMETERS angstrom
3.5413 0.0000 0.0000
-1.7707 3.0669 0.0000
0.0000 0.0000 34.6060
```

E_form (uncorrected) = 0.60 eV per formula unit
DOS(E_F) = 10.7 states/eV per cell
Calculated density = 9.2 g/cm³
Total magnetization = 0.0 Bohr magnetons per cell